The following is a PBE calculation of an optimized crystal structure of HoTcW, from Alexandria.

Unit cell a=3.160 b=3.160 c=13.507 alpha=90.00 beta=90.00 gamma=120.00
Element x y z (fractional)
Tc 0.667 0.333 0.114
Ho 0.667 0.333 0.793
W 0.000 0.000 0.983
W 0.000 0.000 0.483
Tc 0.333 0.667 0.614
Ho 0.333 0.667 0.293

Values from the calculation:
Magnetic moment   0.00 μB/atom
Energy above the lowest structure with this stoichiometry   0.526 eV per atom
Symmetry   P6_3mc, No. 186
ΔH_f (0 K)   0.4558 eV/atom
Energy   -53.06 eV per cell